w:
Pr3ScS4: optimized geometry, GGA-PBE.

Geometry as POSCAR:
```
Pr3ScS4
1.0
1.989 1.148 13.265
-1.989 1.148 13.265
0.000 -2.297 13.265
Pr Sc S
3 1 4
Direct
0.000 0.000 0.000
0.246 0.246 0.246
0.754 0.754 0.754
0.500 0.500 0.500
0.132 0.132 0.132
0.377 0.377 0.377
0.623 0.623 0.623
0.868 0.868 0.868
```

Values from the calculation:
The magnetic moment comes out at 0.0 Bohr magnetons per cell. As for the crystal system: trigonal. As for the symmetry: No. 166.

x:
Pr3ScS4: optimized geometry, GGA-PBE.

Geometry as POSCAR:
```
Pr3ScS4
1.0
8.135 0.000 0.000
0.000 11.357 0.000
0.000 0.000 3.959
Pr Sc S
6 2 8
Direct
0.000 0.000 0.000
0.250 0.250 0.500
0.250 0.750 0.500
0.500 0.500 0.000
0.750 0.250 0.500
0.750 0.750 0.500
0.000 0.500 0.000
0.500 0.000 0.000
0.000 0.262 0.000
0.000 0.738 0.000
0.226 0.500 0.500
0.274 0.000 0.500
0.500 0.238 0.000
0.500 0.762 0.000
0.726 0.000 0.500
0.774 0.500 0.500
```

Values from the calculation:
The magnetic moment comes out at 0.0 Bohr magnetons per cell. As for the crystal system: orthorhombic. As for the symmetry: No. 65.

Which structure is most stable? w, by 19 meV/atom over the runner-up.